# YNiP2

A PBEsol-optimized structure of YNiP2 (meta-GGA SCAN, the Alexandria database).

Unit cell a=3.6648 b=3.7903 c=4.8696 alpha=90.00 beta=90.00 gamma=90.00
Space group Pmmm (No. 47)
Unique sites:
Y  0.0000  0.0000  0.0000 [1 per cell]
Ni  0.0000  0.5000  0.5000 [1 per cell]
P  0.5000  0.5000  0.2425 [2 per cell]

* calculated formation energy: -0.9274 eV per atom
* raw total energy: -17.1308 eV per atom



# YNiP2

A PBEsol-optimized structure of YNiP2 (meta-GGA SCAN, the Alexandria database).

Unit cell a=3.7652 b=3.7652 c=8.8144 alpha=90.00 beta=90.00 gamma=90.00
Space group I-4m2 (No. 119)
Unique sites:
Y  0.0000  0.0000  0.0000 [2 per cell]
Ni  0.0000  0.5000  0.2500 [2 per cell]
P  0.0000  0.0000  0.5000 [2 per cell]
P  0.0000  0.5000  0.7500 [2 per cell]

* calculated formation energy: -0.4161 eV per atom
* raw total energy: -16.6195 eV per atom



# YNi5P3

A PBEsol-optimized structure of YNi5P3 (meta-GGA SCAN, the Alexandria database).

Unit cell a=17.8966 b=3.6802 c=6.6437 alpha=90.00 beta=90.00 gamma=90.00
Space group Pnma (No. 62)
Unique sites:
Y  0.1416  0.2500  0.1200 [4 per cell]
Ni  0.0042  0.7500  0.1284 [4 per cell]
Ni  0.0106  0.2500  0.3798 [4 per cell]
Ni  0.1130  0.2500  0.6364 [4 per cell]
Ni  0.2009  0.7500  0.8162 [4 per cell]
Ni  0.2053  0.7500  0.4282 [4 per cell]
P  0.0755  0.7500  0.8537 [4 per cell]
P  0.0831  0.7500  0.3989 [4 per cell]
P  0.2368  0.2500  0.6226 [4 per cell]

* calculated formation energy: -0.8304 eV per atom
* raw total energy: -16.3754 eV per atom



# YNiP2

A PBEsol-optimized structure of YNiP2 (meta-GGA SCAN, the Alexandria database).

Unit cell a=4.6016 b=4.6016 c=5.9966 alpha=90.00 beta=90.00 gamma=90.00
Space group I4/mmm (No. 139)
Unique sites:
Y  0.0000  0.0000  0.0000 [2 per cell]
Ni  0.0000  0.0000  0.5000 [2 per cell]
P  0.0000  0.5000  0.2500 [4 per cell]

* calculated formation energy: -0.2921 eV per atom
* raw total energy: -16.4954 eV per atom



# Y2Ni12P7

A PBEsol-optimized structure of Y2Ni12P7 (meta-GGA SCAN, the Alexandria database).

Unit cell a=8.9273 b=8.9273 c=3.6417 alpha=90.00 beta=90.00 gamma=120.00
Space group P-6 (No. 174)
Unique sites:
Y  0.0000  0.0000  0.0000 [1 per cell]
Y  0.3333  0.6667  0.5000 [1 per cell]
Ni  0.0410  0.7679  0.5000 [3 per cell]
Ni  0.0963  0.3826  0.0000 [3 per cell]
Ni  0.4525  0.2389  0.0000 [3 per cell]
Ni  0.5157  0.0586  0.5000 [3 per cell]
P  0.0713  0.6288  0.0000 [3 per cell]
P  0.2610  0.0403  0.5000 [3 per cell]
P  0.6667  0.3333  0.5000 [1 per cell]

* calculated formation energy: -0.8031 eV per atom
* raw total energy: -16.1629 eV per atom



# Y2NiP

A PBEsol-optimized structure of Y2NiP (meta-GGA SCAN, the Alexandria database).

Unit cell a=3.9313 b=3.8591 c=10.3115 alpha=90.00 beta=90.00 gamma=90.00
Space group Amm2 (No. 38)
Unique sites:
Y  0.0000  0.0000  0.0000 [2 per cell]
Y  0.5000  0.0000  0.2802 [2 per cell]
Ni  0.0000  0.0000  0.7064 [2 per cell]
P  0.5000  0.0000  0.5699 [2 per cell]

* calculated formation energy: -1.0779 eV per atom
* raw total energy: -21.6423 eV per atom



Question: Which of these has the highest raw total energy?
Answer: Y2Ni12P7



Question: Among the records above, which one has the lowest raw total energy?
Answer: Y2NiP



Question: calculated formation energy of number 6 (Y2NiP)?
Answer: -1.0779 eV per atom